# GGA-PBE Rb2NdIr3O12, relaxed
data_Rb2NdIr3O12
_cell_length_a 7.3413
_cell_length_b 7.3413
_cell_length_c 19.2698
_cell_angle_alpha 90.00
_cell_angle_beta 90.00
_cell_angle_gamma 120.00
_space_group_name_H-M_alt 'R -3 m'
_space_group_IT_number 166
_space_group_name_Hall '-R 3 2"'
loop_
_atom_site_label
_atom_site_fract_x
_atom_site_fract_y
_atom_site_fract_z
_atom_site_occupancy
Rb1 0.0000 0.0000 0.1087 1
Nd1 0.0000 0.0000 0.5000 1
Ir1 0.0000 0.5000 0.0000 1
O1 0.0311 0.5156 0.0975 1
O2 0.0686 0.5343 0.3420 1
# - formation energy (no corrections) (meV/atom) = -1155